Compound: BaCo2Ru2O7
Source: Alexandria
Functional: GGA+U
Structure: relaxed

## Properties
electronic total energy = -159.58 eV/cell
volume = 289 Å³/cell
calculated density = 6.541 g/cm³
total magnetization = 19.54 μB/cell

```
data_BaCo2Ru2O7
_chemical_formula_sum 'Ba2 Co4 Ru4 O14'
_symmetry_space_group_name_H-M 'I m m 2'
_symmetry_Int_Tables_number 44
_cell_length_a 4.0819
_cell_length_b 17.1642
_cell_length_c 4.1258
_cell_angle_alpha 90.00
_cell_angle_beta 90.00
_cell_angle_gamma 90.00
loop_
_symmetry_equiv_pos_as_xyz
'x,y,z'
'-x,-y,z'
'-x,y,z'
'x,-y,z'
'x+1/2,y+1/2,z+1/2'
'-x+1/2,-y+1/2,z+1/2'
'-x+1/2,y+1/2,z+1/2'
'x+1/2,-y+1/2,z+1/2'
loop_
_atom_site_label
_atom_site_fract_x
_atom_site_fract_y
_atom_site_fract_z
Ba1 0.0000 0.0000 0.0000
Co1 0.0000 0.2522 0.4921
Ru1 0.0000 0.3860 0.9995
O1 0.0000 0.1229 0.5048
O2 0.0000 0.2681 0.9896
O3 0.0000 0.3772 0.5000
O4 0.0000 0.5000 0.0004
```